BaTlRe2 | PBE | relaxed

a = 3.0535 Å, b = 4.5988 Å, c = 6.9880 Å
α = 90.00°, β = 90.00°, γ = 90.00°
Fractional coordinates of all 4 atoms:
Ba 0.0000 0.0000 0.0000
Tl 0.0000 0.0000 0.5000
Re 0.5000 0.5000 0.3358
Re 0.5000 0.5000 0.6642

VASP energy   -24.625 eV/cell
Fermi-level density of states   3.99 states/eV/cell
Energy of formation from the pure elements   1.140 eV/atom
ρ   12.08 Mg/m³
Distance to the lowest polymorph of the same formula   695 meV/atom